Record 1
DFT (GGA-PBE) results for Pm2Sm2HoTm2 after structural relaxation.

Cell: 8.815 8.815 8.815 Å, 37.66 37.66 37.66°
Sites, in units of the cell vectors:
Pm 0.139 0.139 0.139
Pm 0.861 0.861 0.861
Sm 0.285 0.285 0.285
Sm 0.715 0.715 0.715
Ho 0.000 0.000 0.000
Tm 0.429 0.429 0.429
Tm 0.571 0.571 0.571

## Properties
The space group is R-3m, No. 166. The calculation puts the energy at -4.51 eV/atom.



Record 2
DFT (GGA-PBE) results for YCrSe after structural relaxation.

Cell: 4.566 4.566 4.566 Å, 60.00 60.00 60.00°
Sites, in units of the cell vectors:
Y 0.000 0.000 0.000
Cr 0.500 0.500 0.500
Se 0.250 0.250 0.250

## Properties
The space group is F-43m, No. 216. The formation energy (no corrections) is -0.1947 eV/atom. Its energy above the most stable polymorph in this dataset is 6.28 kcal/mol of atoms. The calculation puts the energy at -6.72 eV/atom.



Record 3
DFT (GGA-PBE) results for BaTl3Pt after structural relaxation.

Cell: 9.775 4.921 12.118 Å, 90.00 90.00 90.00°
Sites, in units of the cell vectors:
Ba 0.207 0.250 0.001
Ba 0.293 0.750 0.501
Ba 0.707 0.250 0.499
Ba 0.793 0.750 0.999
Tl 0.059 0.250 0.590
Tl 0.117 0.750 0.796
Tl 0.132 0.750 0.202
Tl 0.368 0.250 0.702
Tl 0.383 0.250 0.296
Tl 0.441 0.750 0.090
Tl 0.559 0.250 0.910
Tl 0.617 0.750 0.704
Tl 0.632 0.750 0.298
Tl 0.868 0.250 0.798
Tl 0.883 0.250 0.204
Tl 0.941 0.750 0.410
Pt 0.103 0.250 0.354
Pt 0.397 0.750 0.854
Pt 0.603 0.250 0.146
Pt 0.897 0.750 0.646

## Properties
The space group is Pnma, No. 62. The calculation puts the energy at -3.34 eV/atom.



Record 4
DFT (GGA-PBE) results for NaMnSn2Cl6 after structural relaxation.

Cell: 6.887 7.604 12.130 Å, 90.00 123.20 90.00°
Sites, in units of the cell vectors:
Na 0.000 0.000 0.000
Na 0.000 0.500 0.500
Mn 0.500 0.000 0.500
Mn 0.500 0.500 0.000
Sn 0.254 0.105 0.717
Sn 0.254 0.395 0.217
Sn 0.746 0.605 0.783
Sn 0.746 0.895 0.283
Cl 0.147 0.050 0.264
Cl 0.147 0.450 0.764
Cl 0.237 0.672 0.046
Cl 0.237 0.828 0.546
Cl 0.387 0.222 0.073
Cl 0.387 0.278 0.573
Cl 0.613 0.722 0.427
Cl 0.613 0.778 0.927
Cl 0.763 0.172 0.454
Cl 0.763 0.328 0.954
Cl 0.853 0.550 0.236
Cl 0.853 0.950 0.736

## Properties
The space group is P2_1/c, No. 14. The formation energy (no corrections) is -0.9920 eV/atom. The calculation puts the energy at -3.95 eV/atom.